# KMnTlF4 PBE with a Hubbard U optimized geometry
data_KMnTlF4
_space_group_name_H-M_alt 'P 1'
_space_group_IT_number 1
_space_group_name_Hall 'P 1'
_cell_length_a 4.267
_cell_length_b 4.267
_cell_length_c 7.487
_cell_angle_alpha 106.56
_cell_angle_beta 106.56
_cell_angle_gamma 90.00
loop_
_atom_site_label
_atom_site_fract_x
_atom_site_fract_y
_atom_site_fract_z
K1 0.355 0.355 0.711
Mn1 0.001 0.001 0.002
Tl1 0.653 0.653 0.305
F1 0.995 0.495 0.990
F2 0.495 0.995 0.990
F3 0.844 0.844 0.688
F4 0.158 0.158 0.316
# VASP energy = -35.7 eV/cell